# PBE V3GaRu4, optimized geometry
# D(E_F) ... 6.68 states/eV/f.u.
# Raw total energy ... -8.77 eV/atom
data_V3GaRu4
_cell_length_a 3.009
_cell_length_b 4.253
_cell_length_c 8.532
_cell_angle_alpha 90.00
_cell_angle_beta 90.00
_cell_angle_gamma 90.00
_symmetry_space_group_name_H-M 'P m m m'
_symmetry_Int_Tables_number 47
_symmetry_space_group_name_Hall '-P 2 2'
loop_
_atom_site_label
_atom_site_fract_x
_atom_site_fract_y
_atom_site_fract_z
_atom_site_occupancy
V1 0.000 0.000 0.000 1
V2 0.000 0.500 0.250 1
Ga1 0.000 0.000 0.500 1
Ru1 0.500 0.000 0.246 1
Ru2 0.500 0.500 0.000 1
Ru3 0.500 0.500 0.500 1


# PBE Ac7La2, optimized geometry
# D(E_F) ... 16.74 states/eV/f.u.
# Raw total energy ... -4.27 eV/atom
data_Ac7La2
_cell_length_a 6.8381
_cell_length_b 6.8381
_cell_length_c 9.6067
_cell_angle_alpha 90.00
_cell_angle_beta 90.00
_cell_angle_gamma 120.00
_symmetry_space_group_name_H-M 'P -3 1 m'
_symmetry_Int_Tables_number 162
_symmetry_space_group_name_Hall '-P 3 2'
loop_
_atom_site_label
_atom_site_fract_x
_atom_site_fract_y
_atom_site_fract_z
_atom_site_occupancy
Ac1 0.0000 0.0000 0.0000 1
Ac2 0.0000 0.3357 0.6703 1
La1 0.3333 0.6667 0.0000 1


# PBE K4TaIn, optimized geometry
# D(E_F) ... 7.02 states/eV/f.u.
# Raw total energy ... -2.02 eV/atom
data_K4TaIn
_cell_length_a 9.781
_cell_length_b 9.781
_cell_length_c 9.781
_cell_angle_alpha 90.00
_cell_angle_beta 90.00
_cell_angle_gamma 90.00
_symmetry_space_group_name_H-M 'F -4 3 m'
_symmetry_Int_Tables_number 216
_symmetry_space_group_name_Hall 'F -4 2 3'
loop_
_atom_site_label
_atom_site_fract_x
_atom_site_fract_y
_atom_site_fract_z
_atom_site_occupancy
K1 0.125 0.125 0.125 1
Ta1 0.250 0.250 0.750 1
In1 0.000 0.000 0.500 1


Q: D(E_F) of number 2 (Ac7La2)?
A: 16.74 states/eV/f.u.